Here is crystalline SrPRuAu at its relaxed geometry from the Alexandria database. Energies are from PBE.

Unit cell a=6.103 b=6.103 c=6.103 alpha=142.77 beta=138.43 gamma=57.02
Sites, in units of the cell vectors:
Sr 0.000 0.000 0.000
P 0.645 0.645 0.000
Ru 0.745 0.245 0.500
Au 0.262 0.762 0.500

Calculated values
As for the density of states at the Fermi level: 1.37 states/eV/f.u. The calculation puts the formation energy at -1.358 eV/f.u. Its space-group type is Imm2. The value obtained for the polymorph energy (0 for the lowest one) is 7.9 kJ/mol of atoms.